Material: InFeSi2
Method: DFT, PBE
State: relaxed

The structure in CIF format:
```
data_InFeSi2
_symmetry_space_group_name_H-M 'I m m m'
_symmetry_Int_Tables_number 71
_symmetry_space_group_name_Hall '-I 2 2'
_cell_length_a 2.689
_cell_length_b 4.580
_cell_length_c 10.556
_cell_angle_alpha 90.00
_cell_angle_beta 90.00
_cell_angle_gamma 90.00
loop_
_atom_site_label
_atom_site_type_symbol
_atom_site_fract_x
_atom_site_fract_y
_atom_site_fract_z
In1 In 0.000 0.000 0.000
Fe1 Fe 0.000 0.000 0.500
Si1 Si 0.000 0.500 0.189
```

Computed properties:
V ... 130 Å³/cell
Uncorrected formation energy ... 0.272 eV/atom
E ... -0.193 hartree per atom
Size of the total moment ... 0.716 μB/f.u.
Fermi-level density of states ... 6.6 states/eV per cell